(1)
! PBE La2Sm3DyTm6, optimized geometry; values from VASP
! - M_tot: 0.000 μB/atom
! - Energy of formation from the pure elements: 0.2 eV/f.u.
! - Theoretical density: 8.23 g cm⁻³
! - Crystal system: monoclinic
&SYSTEM
  ibrav = 0, nat = 12, ntyp = 4
/
ATOMIC_SPECIES
La 138.91 La.upf
Sm 150.36 Sm.upf
Dy 162.50 Dy.upf
Tm 168.93 Tm.upf
ATOMIC_POSITIONS crystal
La 0.166 0.834 0.000
La 0.834 0.166 0.000
Sm 0.000 0.000 0.500
Sm 0.333 0.667 0.500
Sm 0.667 0.333 0.500
Dy 0.500 0.500 0.000
Tm 0.083 0.416 0.748
Tm 0.252 0.252 0.252
Tm 0.416 0.083 0.748
Tm 0.584 0.917 0.252
Tm 0.748 0.748 0.748
Tm 0.917 0.584 0.252
CELL_PARAMETERS angstrom
3.100 -5.368 0.000
3.100 5.368 0.000
-2.061 0.000 11.547

---

(2)
! PBE La3SmDyTm, optimized geometry; values from VASP
! - M_tot: 0.000 μB/atom
! - Energy of formation from the pure elements: 0.2 eV/f.u.
! - Theoretical density: 7.22 g cm⁻³
! - Crystal system: monoclinic
&SYSTEM
  ibrav = 0, nat = 12, ntyp = 4
/
ATOMIC_SPECIES
La 138.91 La.upf
Sm 150.36 Sm.upf
Dy 162.50 Dy.upf
Tm 168.93 Tm.upf
ATOMIC_POSITIONS crystal
La 0.170 0.250 0.041
La 0.170 0.250 0.543
La 0.173 0.750 0.294
La 0.827 0.250 0.706
La 0.830 0.750 0.457
La 0.830 0.750 0.959
Sm 0.171 0.750 0.793
Sm 0.829 0.250 0.207
Dy 0.500 0.250 0.877
Dy 0.500 0.750 0.123
Tm 0.497 0.750 0.626
Tm 0.503 0.250 0.374
CELL_PARAMETERS angstrom
8.090 0.000 0.000
0.000 5.205 0.000
-3.348 0.000 9.819

---

(3)
! PBE La2SmDy2Tm, optimized geometry; values from VASP
! - M_tot: 0.000 μB/atom
! - Energy of formation from the pure elements: 0.4 eV/f.u.
! - Theoretical density: 7.64 g cm⁻³
! - Crystal system: orthorhombic
&SYSTEM
  ibrav = 0, nat = 12, ntyp = 4
/
ATOMIC_SPECIES
La 138.91 La.upf
Sm 150.36 Sm.upf
Dy 162.50 Dy.upf
Tm 168.93 Tm.upf
ATOMIC_POSITIONS crystal
La 0.000 0.000 0.000
La 0.250 0.500 0.181
La 0.500 0.000 0.000
La 0.750 0.500 0.819
Sm 0.250 0.000 0.657
Sm 0.750 0.000 0.343
Dy 0.250 0.000 0.334
Dy 0.250 0.500 0.834
Dy 0.750 0.000 0.666
Dy 0.750 0.500 0.166
Tm 0.000 0.500 0.500
Tm 0.500 0.500 0.500
CELL_PARAMETERS angstrom
7.097 0.000 0.000
0.000 5.718 0.000
0.000 0.000 9.881

---

(4)
! PBE La2SmDyTm2, optimized geometry; values from VASP
! - M_tot: 0.000 μB/atom
! - Energy of formation from the pure elements: 0.2 eV/f.u.
! - Theoretical density: 7.65 g cm⁻³
! - Crystal system: orthorhombic
&SYSTEM
  ibrav = 0, nat = 12, ntyp = 4
/
ATOMIC_SPECIES
La 138.91 La.upf
Sm 150.36 Sm.upf
Dy 162.50 Dy.upf
Tm 168.93 Tm.upf
ATOMIC_POSITIONS crystal
La 0.000 0.085 0.000
La 0.000 0.915 0.500
La 0.500 0.252 0.161
La 0.500 0.748 0.661
Sm 0.000 0.254 0.500
Sm 0.000 0.746 0.000
Dy 0.500 0.419 0.663
Dy 0.500 0.581 0.163
Tm 0.000 0.422 0.995
Tm 0.000 0.578 0.495
Tm 0.500 0.085 0.665
Tm 0.500 0.915 0.165
CELL_PARAMETERS angstrom
5.762 0.000 0.000
0.000 11.025 0.000
0.000 0.000 6.344

---

(5)
! PBE La6SmDy2Tm, optimized geometry; values from VASP
! - M_tot: 0.000 μB/atom
! - Energy of formation from the pure elements: 1.1 eV/f.u.
! - Theoretical density: 7.04 g cm⁻³
! - Crystal system: monoclinic
&SYSTEM
  ibrav = 0, nat = 20, ntyp = 4
/
ATOMIC_SPECIES
La 138.91 La.upf
Sm 150.36 Sm.upf
Dy 162.50 Dy.upf
Tm 168.93 Tm.upf
ATOMIC_POSITIONS crystal
La 0.017 0.454 0.818
La 0.083 0.769 0.581
La 0.231 0.917 0.919
La 0.293 0.553 0.393
La 0.447 0.707 0.107
La 0.454 0.017 0.318
La 0.546 0.983 0.682
La 0.553 0.293 0.893
La 0.707 0.447 0.607
La 0.769 0.083 0.081
La 0.917 0.231 0.419
La 0.983 0.546 0.182
Sm 0.057 0.943 0.250
Sm 0.943 0.057 0.750
Dy 0.205 0.291 0.065
Dy 0.291 0.205 0.565
Dy 0.709 0.795 0.435
Dy 0.795 0.709 0.935
Tm 0.419 0.581 0.750
Tm 0.581 0.419 0.250
CELL_PARAMETERS angstrom
4.956 -7.559 0.000
4.956 7.559 0.000
-0.610 0.000 9.310

---

(6)
! PBE La2SmDy3Tm6, optimized geometry; values from VASP
! - M_tot: 0.000 μB/atom
! - Energy of formation from the pure elements: 0.3 eV/f.u.
! - Theoretical density: 8.42 g cm⁻³
! - Crystal system: monoclinic
&SYSTEM
  ibrav = 0, nat = 12, ntyp = 4
/
ATOMIC_SPECIES
La 138.91 La.upf
Sm 150.36 Sm.upf
Dy 162.50 Dy.upf
Tm 168.93 Tm.upf
ATOMIC_POSITIONS crystal
La 0.167 0.833 0.000
La 0.833 0.167 0.000
Sm 0.500 0.500 0.000
Dy 0.000 0.000 0.500
Dy 0.333 0.667 0.500
Dy 0.667 0.333 0.500
Tm 0.082 0.415 0.745
Tm 0.253 0.253 0.255
Tm 0.415 0.082 0.745
Tm 0.585 0.918 0.255
Tm 0.747 0.747 0.745
Tm 0.918 0.585 0.255
CELL_PARAMETERS angstrom
3.087 -5.344 0.000
3.087 5.344 0.000
-2.052 0.000 11.529

---

(7)
! PBE LaSmDy2Tm2, optimized geometry; values from VASP
! - M_tot: 0.000 μB/atom
! - Energy of formation from the pure elements: 1.7 eV/f.u.
! - Theoretical density: 7.93 g cm⁻³
! - Crystal system: orthorhombic
&SYSTEM
  ibrav = 0, nat = 12, ntyp = 4
/
ATOMIC_SPECIES
La 138.91 La.upf
Sm 150.36 Sm.upf
Dy 162.50 Dy.upf
Tm 168.93 Tm.upf
ATOMIC_POSITIONS crystal
La 0.000 0.000 0.000
La 0.500 0.500 0.500
Sm 0.000 0.500 0.000
Sm 0.500 0.000 0.500
Dy 0.215 0.190 0.000
Dy 0.285 0.690 0.500
Dy 0.715 0.310 0.500
Dy 0.785 0.810 0.000
Tm 0.214 0.352 0.500
Tm 0.286 0.852 0.000
Tm 0.714 0.148 0.000
Tm 0.786 0.648 0.500
CELL_PARAMETERS angstrom
6.522 0.000 0.000
0.000 18.010 0.000
0.000 0.000 3.396

---

(8)
! PBE La2SmDyTm4, optimized geometry; values from VASP
! - M_tot: 0.000 μB/atom
! - Energy of formation from the pure elements: 0.2 eV/f.u.
! - Theoretical density: 8.17 g cm⁻³
! - Crystal system: monoclinic
&SYSTEM
  ibrav = 0, nat = 16, ntyp = 4
/
ATOMIC_SPECIES
La 138.91 La.upf
Sm 150.36 Sm.upf
Dy 162.50 Dy.upf
Tm 168.93 Tm.upf
ATOMIC_POSITIONS crystal
La 0.000 0.000 0.000
La 0.000 0.000 0.500
La 0.000 0.500 0.000
La 0.500 0.000 0.000
Sm 0.500 0.500 0.000
Sm 0.500 0.500 0.500
Dy 0.000 0.500 0.500
Dy 0.500 0.000 0.500
Tm 0.250 0.250 0.747
Tm 0.250 0.748 0.747
Tm 0.251 0.251 0.253
Tm 0.252 0.750 0.253
Tm 0.748 0.250 0.747
Tm 0.749 0.749 0.747
Tm 0.750 0.252 0.253
Tm 0.750 0.750 0.253
CELL_PARAMETERS angstrom
6.199 -3.582 0.000
6.199 3.582 0.000
-4.128 0.000 11.591

---

(9)
! PBE La5SmDy2Tm, optimized geometry; values from VASP
! - M_tot: 0.000 μB/atom
! - Energy of formation from the pure elements: 2.6 eV/f.u.
! - Theoretical density: 6.91 g cm⁻³
! - Crystal system: tetragonal
&SYSTEM
  ibrav = 0, nat = 18, ntyp = 4
/
ATOMIC_SPECIES
La 138.91 La.upf
Sm 150.36 Sm.upf
Dy 162.50 Dy.upf
Tm 168.93 Tm.upf
ATOMIC_POSITIONS crystal
La 0.000 0.000 0.000
La 0.066 0.566 0.903
La 0.164 0.066 0.500
La 0.336 0.836 0.903
La 0.434 0.336 0.500
La 0.500 0.500 0.000
La 0.566 0.664 0.500
La 0.664 0.164 0.097
La 0.836 0.934 0.500
La 0.934 0.434 0.097
Sm 0.250 0.250 0.000
Sm 0.750 0.750 0.000
Dy 0.108 0.392 0.500
Dy 0.392 0.892 0.284
Dy 0.608 0.108 0.716
Dy 0.892 0.608 0.500
Tm 0.250 0.750 0.500
Tm 0.750 0.250 0.500
CELL_PARAMETERS angstrom
-4.770 4.770 7.072
4.770 -4.770 7.072
4.770 4.770 -7.072

---

(10)
! PBE La5SmDyTm2, optimized geometry; values from VASP
! - M_tot: 0.000 μB/atom
! - Energy of formation from the pure elements: 1.2 eV/f.u.
! - Theoretical density: 7.03 g cm⁻³
! - Crystal system: orthorhombic
&SYSTEM
  ibrav = 0, nat = 18, ntyp = 4
/
ATOMIC_SPECIES
La 138.91 La.upf
Sm 150.36 Sm.upf
Dy 162.50 Dy.upf
Tm 168.93 Tm.upf
ATOMIC_POSITIONS crystal
La 0.000 0.000 0.000
La 0.000 0.000 0.500
La 0.123 0.877 0.750
La 0.220 0.780 0.061
La 0.220 0.780 0.440
La 0.500 0.500 0.250
La 0.500 0.500 0.750
La 0.780 0.220 0.561
La 0.780 0.220 0.940
La 0.877 0.123 0.250
Sm 0.287 0.713 0.750
Sm 0.713 0.287 0.250
Dy 0.100 0.900 0.250
Dy 0.900 0.100 0.750
Tm 0.387 0.613 0.502
Tm 0.387 0.613 0.998
Tm 0.613 0.387 0.002
Tm 0.613 0.387 0.498
CELL_PARAMETERS angstrom
2.745 -10.850 0.000
2.745 10.850 0.000
0.000 0.000 10.676

---

(11)
! PBE LaSm2Dy2Tm2, optimized geometry; values from VASP
! - M_tot: 0.000 μB/atom
! - Energy of formation from the pure elements: 0.8 eV/f.u.
! - Theoretical density: 7.89 g cm⁻³
! - Crystal system: monoclinic
&SYSTEM
  ibrav = 0, nat = 7, ntyp = 4
/
ATOMIC_SPECIES
La 138.91 La.upf
Sm 150.36 Sm.upf
Dy 162.50 Dy.upf
Tm 168.93 Tm.upf
ATOMIC_POSITIONS crystal
La 0.000 0.000 0.000
Sm 0.347 0.347 0.552
Sm 0.653 0.653 0.448
Dy 0.430 0.430 0.277
Dy 0.570 0.570 0.723
Tm 0.271 0.271 0.853
Tm 0.729 0.729 0.147
CELL_PARAMETERS angstrom
8.686 -1.750 0.000
8.686 1.750 0.000
-4.469 0.000 7.626

---

(12)
! PBE La2Sm2DyTm2, optimized geometry; values from VASP
! - M_tot: 0.000 μB/atom
! - Energy of formation from the pure elements: 0.2 eV/f.u.
! - Theoretical density: 7.67 g cm⁻³
! - Crystal system: monoclinic
&SYSTEM
  ibrav = 0, nat = 7, ntyp = 4
/
ATOMIC_SPECIES
La 138.91 La.upf
Sm 150.36 Sm.upf
Dy 162.50 Dy.upf
Tm 168.93 Tm.upf
ATOMIC_POSITIONS crystal
La 0.143 0.143 0.427
La 0.857 0.857 0.573
Sm 0.429 0.429 0.279
Sm 0.571 0.571 0.721
Dy 0.000 0.000 0.000
Tm 0.284 0.284 0.863
Tm 0.716 0.716 0.137
CELL_PARAMETERS angstrom
5.722 -2.560 0.000
5.722 2.560 0.000
-1.172 0.000 7.971

---

(13)
! PBE La6SmDyTm2, optimized geometry; values from VASP
! - M_tot: 0.000 μB/atom
! - Energy of formation from the pure elements: 1.9 eV/f.u.
! - Theoretical density: 6.96 g cm⁻³
! - Crystal system: monoclinic
&SYSTEM
  ibrav = 0, nat = 10, ntyp = 4
/
ATOMIC_SPECIES
La 138.91 La.upf
Sm 150.36 Sm.upf
Dy 162.50 Dy.upf
Tm 168.93 Tm.upf
ATOMIC_POSITIONS crystal
La 0.098 0.539 0.193
La 0.139 0.139 0.438
La 0.461 0.902 0.807
La 0.539 0.098 0.193
La 0.861 0.861 0.562
La 0.902 0.461 0.807
Sm 0.500 0.500 0.500
Dy 0.000 0.000 0.000
Tm 0.412 0.412 0.837
Tm 0.588 0.588 0.163
CELL_PARAMETERS angstrom
5.685 -3.578 0.000
5.685 3.578 0.000
-2.094 0.000 8.707

---

(14)
! PBE La2Sm2Dy4Tm, optimized geometry; values from VASP
! - M_tot: 0.000 μB/atom
! - Energy of formation from the pure elements: 0.1 eV/f.u.
! - Theoretical density: 7.79 g cm⁻³
! - Crystal system: monoclinic
&SYSTEM
  ibrav = 0, nat = 9, ntyp = 4
/
ATOMIC_SPECIES
La 138.91 La.upf
Sm 150.36 Sm.upf
Dy 162.50 Dy.upf
Tm 168.93 Tm.upf
ATOMIC_POSITIONS crystal
La 0.164 0.164 0.000
La 0.836 0.836 0.000
Sm 0.353 0.353 0.337
Sm 0.647 0.647 0.663
Dy 0.020 0.020 0.333
Dy 0.315 0.315 0.663
Dy 0.685 0.685 0.337
Dy 0.980 0.980 0.667
Tm 0.500 0.500 0.000
CELL_PARAMETERS angstrom
9.417 -1.818 0.000
9.417 1.818 0.000
-4.180 0.000 8.698

---

(15)
! PBE LaSm5Dy2Tm, optimized geometry; values from VASP
! - M_tot: 0.000 μB/atom
! - Energy of formation from the pure elements: 2.6 eV/f.u.
! - Theoretical density: 7.43 g cm⁻³
! - Crystal system: tetragonal
&SYSTEM
  ibrav = 0, nat = 18, ntyp = 4
/
ATOMIC_SPECIES
La 138.91 La.upf
Sm 150.36 Sm.upf
Dy 162.50 Dy.upf
Tm 168.93 Tm.upf
ATOMIC_POSITIONS crystal
La 0.250 0.250 0.000
La 0.750 0.750 0.000
Sm 0.000 0.000 0.000
Sm 0.072 0.572 0.905
Sm 0.167 0.072 0.500
Sm 0.333 0.833 0.905
Sm 0.428 0.333 0.500
Sm 0.500 0.500 0.000
Sm 0.572 0.667 0.500
Sm 0.667 0.167 0.095
Sm 0.833 0.928 0.500
Sm 0.928 0.428 0.095
Dy 0.110 0.390 0.500
Dy 0.390 0.890 0.280
Dy 0.610 0.110 0.720
Dy 0.890 0.610 0.500
Tm 0.250 0.750 0.500
Tm 0.750 0.250 0.500
CELL_PARAMETERS angstrom
-4.644 4.644 7.180
4.644 -4.644 7.180
4.644 4.644 -7.180

---

(16)
! PBE LaSm2DyTm2, optimized geometry; values from VASP
! - M_tot: 0.000 μB/atom
! - Energy of formation from the pure elements: 1.6 eV/f.u.
! - Theoretical density: 7.82 g cm⁻³
! - Crystal system: orthorhombic
&SYSTEM
  ibrav = 0, nat = 12, ntyp = 4
/
ATOMIC_SPECIES
La 138.91 La.upf
Sm 150.36 Sm.upf
Dy 162.50 Dy.upf
Tm 168.93 Tm.upf
ATOMIC_POSITIONS crystal
La 0.000 0.000 0.000
La 0.500 0.500 0.500
Sm 0.223 0.348 0.500
Sm 0.277 0.848 0.000
Sm 0.723 0.152 0.000
Sm 0.777 0.652 0.500
Dy 0.000 0.500 0.000
Dy 0.500 0.000 0.500
Tm 0.228 0.180 0.000
Tm 0.272 0.680 0.500
Tm 0.728 0.320 0.500
Tm 0.772 0.820 0.000
CELL_PARAMETERS angstrom
6.655 0.000 0.000
0.000 17.715 0.000
0.000 0.000 3.384

---

(17)
! PBE La4Sm2Dy2Tm, optimized geometry; values from VASP
! - M_tot: 0.000 μB/atom
! - Energy of formation from the pure elements: 0.2 eV/f.u.
! - Theoretical density: 7.27 g cm⁻³
! - Crystal system: monoclinic
&SYSTEM
  ibrav = 0, nat = 9, ntyp = 4
/
ATOMIC_SPECIES
La 138.91 La.upf
Sm 150.36 Sm.upf
Dy 162.50 Dy.upf
Tm 168.93 Tm.upf
ATOMIC_POSITIONS crystal
La 0.054 0.054 0.331
La 0.277 0.277 0.668
La 0.723 0.723 0.332
La 0.946 0.946 0.669
Sm 0.167 0.167 0.000
Sm 0.833 0.833 0.000
Dy 0.388 0.388 0.329
Dy 0.612 0.612 0.671
Tm 0.500 0.500 0.000
CELL_PARAMETERS angstrom
7.748 -2.584 0.000
7.748 2.584 0.000
-2.612 0.000 7.704

---

(18)
! PBE LaSm6Dy2Tm, optimized geometry; values from VASP
! - M_tot: 0.000 μB/atom
! - Energy of formation from the pure elements: 1.2 eV/f.u.
! - Theoretical density: 7.56 g cm⁻³
! - Crystal system: monoclinic
&SYSTEM
  ibrav = 0, nat = 20, ntyp = 4
/
ATOMIC_SPECIES
La 138.91 La.upf
Sm 150.36 Sm.upf
Dy 162.50 Dy.upf
Tm 168.93 Tm.upf
ATOMIC_POSITIONS crystal
La 0.028 0.972 0.750
La 0.972 0.028 0.250
Sm 0.011 0.561 0.684
Sm 0.121 0.754 0.056
Sm 0.246 0.879 0.444
Sm 0.293 0.511 0.882
Sm 0.439 0.989 0.816
Sm 0.489 0.707 0.618
Sm 0.511 0.293 0.382
Sm 0.561 0.011 0.184
Sm 0.707 0.489 0.118
Sm 0.754 0.121 0.556
Sm 0.879 0.246 0.944
Sm 0.989 0.439 0.316
Dy 0.202 0.304 0.548
Dy 0.304 0.202 0.048
Dy 0.696 0.798 0.952
Dy 0.798 0.696 0.452
Tm 0.411 0.589 0.250
Tm 0.589 0.411 0.750
CELL_PARAMETERS angstrom
4.631 -7.599 0.000
4.631 7.599 0.000
-1.099 0.000 9.580

---

(19)
! PBE LaSmDyY, optimized geometry; values from VASP
! - M_tot: 0.000 μB/atom
! - Energy of formation from the pure elements: 0.4 eV/f.u.
! - Energy relative to the lowest polymorph listed for this composition: 74 meV per atom
! - Theoretical density: 6.60 g cm⁻³
! - Crystal system: cubic
&SYSTEM
  ibrav = 0, nat = 4, ntyp = 4
/
ATOMIC_SPECIES
La 138.91 La.upf
Sm 150.36 Sm.upf
Dy 162.50 Dy.upf
Y 88.91 Y.upf
ATOMIC_POSITIONS crystal
La 0.000 0.000 0.000
Sm 0.500 0.500 0.500
Dy 0.750 0.750 0.750
Y 0.250 0.250 0.250
CELL_PARAMETERS angstrom
0.000 4.083 4.083
4.083 0.000 4.083
4.083 4.083 0.000

---

(20)
! PBE La2Sm6DyY3, optimized geometry; values from VASP
! - M_tot: 0.000 μB/atom
! - Energy of formation from the pure elements: 0.2 eV/f.u.
! - Theoretical density: 6.59 g cm⁻³
! - Crystal system: monoclinic
&SYSTEM
  ibrav = 0, nat = 12, ntyp = 4
/
ATOMIC_SPECIES
La 138.91 La.upf
Sm 150.36 Sm.upf
Dy 162.50 Dy.upf
Y 88.91 Y.upf
ATOMIC_POSITIONS crystal
La 0.167 0.833 0.000
La 0.833 0.167 0.000
Sm 0.083 0.415 0.747
Sm 0.253 0.253 0.254
Sm 0.415 0.083 0.747
Sm 0.585 0.917 0.253
Sm 0.747 0.747 0.746
Sm 0.917 0.585 0.253
Dy 0.500 0.500 0.000
Y 0.000 0.000 0.500
Y 0.334 0.666 0.500
Y 0.666 0.334 0.500
CELL_PARAMETERS angstrom
3.143 -5.447 0.000
3.143 5.447 0.000
-2.099 0.000 11.837